No. 1
Entry from Alexandria: a geometry-optimized Ac7Er structure (PBE).

Properties
- N(E_F): 49.825 states/eV per cell
- Calculated formation energy: 0.8 kcal/mol of atoms
- Calculated total energy: -4.1308 eV/atom

Unit cell a=11.1278 b=11.1278 c=11.1278 alpha=90.00 beta=90.00 gamma=90.00
Space group Fm-3m (No. 225)
Unique sites:
Ac: 0.0000 0.0000 0.0000
Ac: 0.0000 0.2500 0.2500
Er: 0.0000 0.0000 0.5000

No. 2
Entry from Alexandria: a geometry-optimized Ac2EuEr structure (PBE).

Properties
- N(E_F): 6.778 states/eV per cell
- Calculated formation energy: 1.8 kcal/mol of atoms
- Energy above the lowest structure with this stoichiometry: 37.2 meV/atom
- Calculated total energy: -5.6856 eV/atom

Unit cell a=5.5460 b=5.5460 c=5.1745 alpha=90.00 beta=90.00 gamma=90.00
Space group P4/mmm (No. 123)
Unique sites:
Ac: 0.0000 0.5000 0.0000
Eu: 0.0000 0.0000 0.5000
Er: 0.5000 0.5000 0.5000